[1]
A relaxed structure of Ac4PrTl2, computed with PBE.

Computed properties:
M_tot	0.000	μB per atom
energy above the most stable polymorph in this dataset	0.00	eV per formula unit
SG	Cmmm
calculated formation energy	-0.122	eV per atom
D(E_F)	1.28	states/eV/atom

The structure in extended XYZ format:
```
7
Lattice="4.6313 -5.6314 0.0000 4.6313 5.6314 0.0000 0.0000 0.0000 5.2720" Properties=species:S:1:pos:R:3 pbc="T T T"
Ac 2.3156 2.8157 2.6360
Ac 1.9063 0.0000 0.0000
Ac 2.3156 -2.8157 2.6360
Ac 7.3563 0.0000 0.0000
Pr 4.6313 0.0000 2.6360
Tl 4.6313 2.3835 0.0000
Tl 4.6313 -2.3835 0.0000
```



[2]
A relaxed structure of Ba2Ge2Pb, computed with PBE.

Computed properties:
M_tot	0.000	μB per atom
energy above the most stable polymorph in this dataset	1.17	eV per formula unit
SG	I4/mmm
calculated formation energy	-0.307	eV per atom
D(E_F)	0.60	states/eV/atom

The structure in extended XYZ format:
```
5
Lattice="-1.9734 1.9734 10.6956 1.9734 -1.9734 10.6956 1.9734 1.9734 -10.6956" Properties=species:S:1:pos:R:3 pbc="T T T"
Ba 0.0000 0.0000 2.4443
Ba 0.0000 0.0000 18.9468
Ge 1.9734 0.0000 5.3478
Ge 0.0000 1.9734 5.3478
Pb 0.0000 0.0000 10.6956
```



[3]
A relaxed structure of Ag2CNO, computed with PBE.

Computed properties:
ΔE_f (raw)	1.19	eV/atom
M_tot	0.000	μB per atom
SG	P4/mmm
D(E_F)	0.27	states/eV/atom

The structure in extended XYZ format:
```
5
Lattice="5.1058 0.0000 0.0000 0.0000 5.1058 0.0000 0.0000 0.0000 2.5562" Properties=species:S:1:pos:R:3 pbc="T T T"
Ag 0.0000 2.5529 0.0000
Ag 2.5529 0.0000 0.0000
C 0.0000 0.0000 1.2781
N 0.0000 0.0000 0.0000
O 2.5529 2.5529 1.2781
```



[4]
A relaxed structure of PrNdThZr, computed with PBE.

Computed properties:
M_tot	0.000	μB per atom
SG	F-43m
calculated formation energy	0.216	eV per atom
D(E_F)	1.49	states/eV/atom

The structure in extended XYZ format:
```
4
Lattice="0.0000 3.9407 3.9407 3.9407 0.0000 3.9407 3.9407 3.9407 0.0000" Properties=species:S:1:pos:R:3 pbc="T T T"
Pr 0.0000 0.0000 0.0000
Nd 5.9111 5.9111 5.9111
Th 3.9407 3.9407 3.9407
Zr 1.9704 1.9704 1.9704
```



[5]
A relaxed structure of Y3HoSb3, computed with PBE.

Computed properties:
ΔE_f (raw)	-0.93	eV/atom
M_tot	0.000	μB per atom
energy above the most stable polymorph in this dataset	0.60	eV per formula unit
SG	R-3
D(E_F)	0.70	states/eV/atom

The structure in extended XYZ format:
```
14
Lattice="4.4778 2.5853 6.1456 -4.4778 2.5853 6.1456 0.0000 -5.1705 6.1456" Properties=species:S:1:pos:R:3 pbc="T T T"
Y -1.1524 -3.1306 7.7088
Y -3.2874 -0.5672 10.7280
Y -2.1349 2.5633 7.7088
Y 2.1349 -2.5633 10.7280
Y 3.2874 0.5672 7.7088
Y 1.1524 3.1306 10.7280
Ho 0.0000 0.0000 6.1498
Ho 0.0000 0.0000 12.2870
Sb -2.7719 -0.4298 7.6470
Sb -1.0137 -2.6154 10.7898
Sb 1.7582 -2.1856 7.6470
Sb -1.7582 2.1856 10.7898
Sb 1.0137 2.6154 7.6470
Sb 2.7719 0.4298 10.7898
```



What did the third record say?
A relaxed structure of Ag2CNO, computed with PBE.

Computed properties:
ΔE_f (raw)	1.19	eV/atom
M_tot	0.000	μB per atom
SG	P4/mmm
D(E_F)	0.27	states/eV/atom

The structure in extended XYZ format:
```
5
Lattice="5.1058 0.0000 0.0000 0.0000 5.1058 0.0000 0.0000 0.0000 2.5562" Properties=species:S:1:pos:R:3 pbc="T T T"
Ag 0.0000 2.5529 0.0000
Ag 2.5529 0.0000 0.0000
C 0.0000 0.0000 1.2781
N 0.0000 0.0000 0.0000
O 2.5529 2.5529 1.2781
```



> Which of these has the lowest D(E_F)?

Ag2CNO